1.
Computed, not measured: a geometry-optimized AcGd3Fe structure at the PBE level of DFT.

Cell lengths 5.414, 5.414, 5.414 Å; angles 90.00, 90.00, 90.00 degrees
Element x y z (fractional)
Ac: 0.500 0.500 0.500
Gd: 0.000 0.500 0.000
Gd: 0.000 0.000 0.500
Gd: 0.500 0.000 0.000
Fe: 0.000 0.000 0.000

## Properties
- energy relative to the elements (eV per atom) = 0.0813
- crystal system = cubic
- electronic total energy (eV/f.u.) = -54.41

=====

2.
Computed, not measured: a geometry-optimized NbSnTeN2 structure at the PBE level of DFT.

Cell lengths 4.171, 4.171, 5.736 Å; angles 90.00, 90.00, 90.00 degrees
Element x y z (fractional)
Nb: 0.000 0.000 0.000
Te: 0.000 0.000 0.500
Sn: 0.500 0.500 0.500
N: 0.000 0.500 0.000
N: 0.500 0.000 0.000

## Properties
- E above lowest polymorph (meV per atom) = 0
- crystal system = tetragonal
- electronic total energy (eV/f.u.) = -32.13

=====

Q: Which formula does entry 1 have?
A: AcGd3Fe

=====

Q: electronic total energy of number 2 (NbSnTeN2)?
A: -32.13 eV/f.u.

=====

Q: Among the records above, which one has the lowest electronic total energy?
A: AcGd3Fe

=====

Q: Which value of electronic total energy does entry 2 give?
A: -32.13 eV/f.u.